Pu5HgRh4 | PBE | relaxed

## Properties
* energy of formation: 0.0282 eV/atom
* M_tot: 14.55 μB/f.u.

abc: 3.714 3.714 14.476
angles: 90.00 90.00 90.00
Space group P4/mmm (No. 123)
Asymmetric unit:
1 Pu 0.000 0.000 0.000 (multiplicity 1)
2 Pu 0.000 0.000 0.173 (multiplicity 2)
3 Pu 0.000 0.000 0.367 (multiplicity 2)
4 Hg 0.500 0.500 0.500 (multiplicity 1)
5 Rh 0.500 0.500 0.093 (multiplicity 2)
6 Rh 0.500 0.500 0.283 (multiplicity 2)